# CsMnBr2F (PBE with a Hubbard U, relaxed)
data_CsMnBr2F
_chemical_formula_sum 'Cs1 Mn1 Br2 F1'
_space_group_name_H-M_alt 'P 4/m m m'
_space_group_IT_number 123
_space_group_name_Hall '-P 4 2'
_cell_length_a 5.727
_cell_length_b 5.727
_cell_length_c 4.225
_cell_angle_alpha 90.00
_cell_angle_beta 90.00
_cell_angle_gamma 90.00
loop_
_atom_site_label
_atom_site_type_symbol
_atom_site_fract_x
_atom_site_fract_y
_atom_site_fract_z
_atom_site_occupancy
Cs1 Cs 0.000 0.000 0.000 1
Mn1 Mn 0.500 0.500 0.500 1
Br1 Br 0.000 0.500 0.500 1
F1 F 0.500 0.500 0.000 1
# Total magnetic moment ... 1.000 μB per atom
# Polymorph energy (0 for the lowest one) ... 0.0 meV/atom
# N(E_F) ... 0.0 states/eV per cell
# Energy ... -4.48 eV/atom